A plane-wave DFT calculation with PBE was carried out for an optimized crystal structure of LaErTh2.

The structure in CIF format:
```
data_LaErTh2
_chemical_formula_sum 'La1 Er1 Th2'
_cell_length_a 3.5019
_cell_length_b 3.5019
_cell_length_c 12.6225
_cell_angle_alpha 82.03
_cell_angle_beta 82.03
_cell_angle_gamma 60.00
_space_group_name_H-M_alt 'P 1'
_space_group_IT_number 1
loop_
_space_group_symop_operation_xyz
'x,y,z'
loop_
_atom_site_label
_atom_site_type_symbol
_atom_site_fract_x
_atom_site_fract_y
_atom_site_fract_z
La1 La 0.0000 0.0000 0.0000
Th1 Th 0.0888 0.0888 0.7337
Th2 Th 0.9112 0.9112 0.2663
Er1 Er 0.5000 0.5000 0.5000
```

Calculated values
Space group ... R-3m (166)
Formation energy ... 165 meV per atom
Energy relative to the lowest polymorph listed for this composition ... 138 meV per atom